## CaAg2SnF8 (GGA-PBE)

Data for CaAg2SnF8 after structural relaxation.

abc: 4.7714 5.8523 7.1629
angles: 89.99 90.00 94.32
Last column: nearest neighbours and their distance in Å.
Fractional coordinates of all 12 atoms:
Ca1 0.0000 0.0000 0.5000  6 F 2.18-2.43
Ag1 0.5000 0.5000 0.7465  6 F 2.36-2.62
Ag2 0.5000 0.5000 0.2535  6 F 2.36-2.62
Sn1 0.0000 0.0000 0.0000  6 F 2.00-2.03
F1 0.1433 0.8168 0.2153  1 Sn 2.03
F2 0.6601 0.7787 0.0000  1 Sn 2.00
F3 0.8567 0.1833 0.2153  1 Sn 2.03
F4 0.8567 0.1832 0.7847  1 Sn 2.03
F5 0.3399 0.2213 0.0000  1 Sn 2.00
F6 0.1433 0.8167 0.7847  1 Sn 2.03
F7 0.6325 0.7540 0.5000  1 Ca 2.18, 2 Ag 2.36
F8 0.3675 0.2460 0.5000  1 Ca 2.18, 2 Ag 2.36

Calculated values
raw formation energy: -2.319 eV per atom
symmetry: P2/m (10)